A geometry-optimized MnCdRhF2 structure. Source: Alexandria via LeMat-Bulk, functional PBE+U.

a = 4.1110 Å, b = 4.1110 Å, c = 6.9347 Å
α = 90.00°, β = 90.00°, γ = 90.00°
Closest atoms and distances in Å follow each position.
Space group P4/mmm (No. 123)
Asymmetric unit:
Mn 0.0000 0.0000 0.0000 x1  4 Rh 2.91
Cd 0.0000 0.0000 0.5000 x1  4 F 2.06
Rh 0.5000 0.5000 0.0000 x1  4 Mn 2.91
F 0.0000 0.5000 0.5000 x2  2 Cd 2.06

Calculated values
Theoretical density ... 4.4 Mg/m³
E_tot ... -4.25 eV/atom